A relaxed ReTcAg2 crystal, computed with PBE-GGA.

Geometry as extended XYZ:
```
4
Lattice="2.7816 0.0000 0.0000 0.0000 3.9448 0.0000 0.0000 0.0000 5.9420" Properties=species:S:1:pos:R:3 pbc="T T T"
Re 0.0000 0.0000 0.0000
Tc 1.3908 1.9724 1.0893
Ag 0.0000 0.0000 2.7983
Ag 1.3908 1.9724 4.2408
```

- D(E_F): 3.8 states/eV per cell
- Energy above the most stable polymorph in this dataset: 256 meV per atom
- Magnetic moment: 0.00 μB/atom
- Space-group type: Pmm2
- ΔH_f (0 K): 1.85 eV per formula unit